1.
PWCl2 | PBE-GGA | relaxed

* energy above the lowest structure with this stoichiometry: 0.32 eV per formula unit
* crystal system: tetragonal
* ΔE_f (raw): -0.235 eV per atom

Cell lengths 3.1664, 3.1664, 8.8991 Å; angles 90.00, 90.00, 90.00 degrees
Space group P4mm (No. 99)
Asymmetric unit:
P (0.0000, 0.0000, 0.0000)
W (0.5000, 0.5000, 0.8798)
Cl (0.0000, 0.0000, 0.2324)
Cl (0.5000, 0.5000, 0.6267)


2.
PWCl2 | PBE-GGA | relaxed

* energy above the lowest structure with this stoichiometry: 0.49 eV per formula unit
* crystal system: orthorhombic
* ΔE_f (raw): -0.194 eV per atom

Cell lengths 4.7005, 14.0151, 3.1629 Å; angles 90.00, 90.00, 90.00 degrees
Space group Cmmm (No. 65)
Asymmetric unit:
P (0.0000, 0.0000, 0.0000)
W (0.0000, 0.5000, 0.0000)
Cl (0.0000, 0.3655, 0.5000)


3.
PW6Cl17 | PBE-GGA | relaxed

* crystal system: orthorhombic
* ΔE_f (raw): -0.785 eV per atom

Cell lengths 6.8483, 17.1785, 10.8603 Å; angles 90.00, 90.00, 90.00 degrees
Space group Imm2 (No. 44)
Asymmetric unit:
P (0.0000, 0.0000, 0.0000)
W (0.0000, 0.0757, 0.1892)
W (0.0000, 0.1342, 0.9481)
W (0.2021, 0.0000, 0.8115)
Cl (0.0000, 0.0000, 0.6280)
Cl (0.0000, 0.1671, 0.3502)
Cl (0.0000, 0.2694, 0.9556)
Cl (0.0000, 0.5000, 0.1620)
Cl (0.0000, 0.5000, 0.4452)
Cl (0.2289, 0.3576, 0.5937)
Cl (0.2402, 0.0000, 0.3086)
Cl (0.2396, 0.1387, 0.7848)


4.
PW2Cl | PBE-GGA | relaxed

* energy above the lowest structure with this stoichiometry: 1.71 eV per formula unit
* crystal system: monoclinic
* ΔE_f (raw): 0.358 eV per atom

Cell lengths 8.4134, 3.1471, 5.1135 Å; angles 90.00, 106.71, 90.00 degrees
Space group Cm (No. 8)
Asymmetric unit:
P (0.0000, 0.0000, 0.0000)
W (0.0196, 0.5000, 0.6602)
W (0.2895, 0.0000, 0.0345)
Cl (0.2766, 0.5000, 0.4120)


5.
PWCl2 | PBE-GGA | relaxed

* energy above the lowest structure with this stoichiometry: 4.23 eV per formula unit
* crystal system: tetragonal
* ΔE_f (raw): 0.741 eV per atom

Cell lengths 2.9158, 2.9158, 9.0943 Å; angles 90.00, 90.00, 90.00 degrees
Space group P4/mmm (No. 123)
Asymmetric unit:
P (0.0000, 0.0000, 0.0000)
W (0.0000, 0.0000, 0.5000)
Cl (0.5000, 0.5000, 0.3312)


6.
PW2Cl | PBE-GGA | relaxed

* energy above the lowest structure with this stoichiometry: 0.56 eV per formula unit
* crystal system: trigonal
* ΔE_f (raw): 0.071 eV per atom

Cell lengths 3.0242, 3.0242, 27.5411 Å; angles 90.00, 90.00, 120.00 degrees
Space group R3m (No. 160, hexagonal axes)
Asymmetric unit:
P (0.0000, 0.0000, 0.0000)
W (0.0000, 0.0000, 0.4770)
W (0.0000, 0.0000, 0.7298)
Cl (0.0000, 0.0000, 0.2088)


7.
PWCl2 | PBE-GGA | relaxed

* energy above the lowest structure with this stoichiometry: 4.74 eV per formula unit
* crystal system: monoclinic
* ΔE_f (raw): 0.868 eV per atom

Cell lengths 4.4504, 2.8934, 5.1712 Å; angles 90.00, 90.22, 90.00 degrees
Space group P2/m (No. 10)
Asymmetric unit:
P (0.0000, 0.0000, 0.0000)
W (0.0000, 0.5000, 0.5000)
Cl (0.5000, 0.0000, 0.5000)
Cl (0.5000, 0.5000, 0.0000)


8.
PWCl2 | PBE-GGA | relaxed

* energy above the lowest structure with this stoichiometry: 5.76 eV per formula unit
* crystal system: cubic
* ΔE_f (raw): 1.125 eV per atom

Cell lengths 6.2954, 6.2954, 6.2954 Å; angles 90.00, 90.00, 90.00 degrees
Space group Fm-3m (No. 225)
Asymmetric unit:
P (0.0000, 0.0000, 0.0000)
W (0.0000, 0.0000, 0.5000)
Cl (0.2500, 0.2500, 0.2500)


9.
PWCl2 | PBE-GGA | relaxed

* energy above the lowest structure with this stoichiometry: 5.93 eV per formula unit
* crystal system: orthorhombic
* ΔE_f (raw): 1.166 eV per atom

Cell lengths 5.5584, 8.4467, 2.8495 Å; angles 90.00, 90.00, 90.00 degrees
Space group Cmmm (No. 65)
Asymmetric unit:
P (0.0000, 0.0000, 0.0000)
W (0.0000, 0.5000, 0.0000)
Cl (0.2500, 0.2500, 0.5000)


10.
PWCl2 | PBE-GGA | relaxed

* energy above the lowest structure with this stoichiometry: 2.43 eV per formula unit
* crystal system: orthorhombic
* ΔE_f (raw): 0.291 eV per atom

Cell lengths 3.1780, 5.4016, 9.2499 Å; angles 90.00, 90.00, 90.00 degrees
Space group Cmm2 (No. 35)
Asymmetric unit:
P (0.0000, 0.0000, 0.0000)
W (0.0000, 0.5000, 0.1910)
Cl (0.0000, 0.0000, 0.4015)
Cl (0.0000, 0.5000, 0.7753)


11.
PW2Cl | PBE-GGA | relaxed

* energy above the lowest structure with this stoichiometry: 3.47 eV per formula unit
* crystal system: orthorhombic
* ΔE_f (raw): 0.799 eV per atom

Cell lengths 2.7761, 4.1496, 5.6367 Å; angles 90.00, 90.00, 90.00 degrees
Space group Pmmm (No. 47)
Asymmetric unit:
P (0.0000, 0.0000, 0.0000)
W (0.0000, 0.5000, 0.5000)
W (0.5000, 0.5000, 0.0000)
Cl (0.5000, 0.0000, 0.5000)


12.
PW2Cl | PBE-GGA | relaxed

* energy above the lowest structure with this stoichiometry: 1.46 eV per formula unit
* crystal system: orthorhombic
* ΔE_f (raw): 0.297 eV per atom

Cell lengths 3.3488, 4.6715, 9.5618 Å; angles 90.00, 90.00, 90.00 degrees
Space group Cmm2 (No. 35)
Asymmetric unit:
P (0.0000, 0.0000, 0.0000)
W (0.0000, 0.0000, 0.4133)
W (0.0000, 0.5000, 0.1870)
Cl (0.0000, 0.5000, 0.6158)


13.
P3WCl | PBE-GGA | relaxed

* energy above the lowest structure with this stoichiometry: 6.43 eV per formula unit
* crystal system: cubic
* ΔE_f (raw): 1.694 eV per atom

Cell lengths 4.3706, 4.3706, 4.3706 Å; angles 90.00, 90.00, 90.00 degrees
Space group Pm-3m (No. 221)
Asymmetric unit:
P (0.0000, 0.0000, 0.5000)
W (0.5000, 0.5000, 0.5000)
Cl (0.0000, 0.0000, 0.0000)


14.
PW2Cl | PBE-GGA | relaxed

* energy above the lowest structure with this stoichiometry: 4.56 eV per formula unit
* crystal system: cubic
* ΔE_f (raw): 1.071 eV per atom

Cell lengths 6.3489, 6.3489, 6.3489 Å; angles 90.00, 90.00, 90.00 degrees
Space group F-43m (No. 216)
Asymmetric unit:
P (0.0000, 0.0000, 0.0000)
W (0.0000, 0.0000, 0.5000)
W (0.2500, 0.2500, 0.7500)
Cl (0.2500, 0.2500, 0.2500)


15.
PW2Cl | PBE-GGA | relaxed

* energy above the lowest structure with this stoichiometry: 2.70 eV per formula unit
* crystal system: cubic
* ΔE_f (raw): 0.607 eV per atom

Cell lengths 6.0999, 6.0999, 6.0999 Å; angles 90.00, 90.00, 90.00 degrees
Space group Fm-3m (No. 225)
Asymmetric unit:
P (0.0000, 0.0000, 0.0000)
W (0.2500, 0.2500, 0.2500)
Cl (0.0000, 0.0000, 0.5000)


16.
PWCl2 | PBE-GGA | relaxed

* energy above the lowest structure with this stoichiometry: 2.11 eV per formula unit
* crystal system: orthorhombic
* ΔE_f (raw): 0.212 eV per atom

Cell lengths 2.8886, 4.8042, 13.9302 Å; angles 90.00, 90.00, 90.00 degrees
Space group Imm2 (No. 44)
Asymmetric unit:
P (0.0000, 0.0000, 0.0000)
W (0.0000, 0.5000, 0.6428)
Cl (0.0000, 0.0000, 0.2842)
Cl (0.0000, 0.5000, 0.1431)


17.
PWCl2 | PBE-GGA | relaxed

* energy above the lowest structure with this stoichiometry: 1.58 eV per formula unit
* crystal system: tetragonal
* ΔE_f (raw): 0.080 eV per atom

Cell lengths 8.8972, 8.8972, 4.6559 Å; angles 90.00, 90.00, 90.00 degrees
Space group I-42d (No. 122)
Asymmetric unit:
P (0.0000, 0.0000, 0.0000)
W (0.0000, 0.0000, 0.5000)
Cl (0.1104, 0.2500, 0.6250)


18.
PWCl4 | PBE-GGA | relaxed

* crystal system: cubic
* ΔE_f (raw): 1.625 eV per atom

Cell lengths 7.8610, 7.8610, 7.8610 Å; angles 90.00, 90.00, 90.00 degrees
Space group F-43m (No. 216)
Asymmetric unit:
P (0.0000, 0.0000, 0.0000)
W (0.2500, 0.2500, 0.7500)
Cl (0.1242, 0.1242, 0.3758)


19.
PW2Cl | PBE-GGA | relaxed

* energy above the lowest structure with this stoichiometry: 0.00 eV per formula unit
* crystal system: monoclinic
* ΔE_f (raw): -0.069 eV per atom

Cell lengths 3.2516, 3.0927, 8.1876 Å; angles 90.00, 98.88, 90.00 degrees
Space group Pm (No. 6)
Asymmetric unit:
P (0.0000, 0.0000, 0.0000)
W (0.4462, 0.5000, 0.8619)
W (0.8696, 0.0000, 0.6647)
Cl (0.7800, 0.5000, 0.4330)


20.
YPWCl2 | PBE-GGA | relaxed

* energy above the lowest structure with this stoichiometry: 0.00 eV per formula unit
* crystal system: tetragonal
* ΔE_f (raw): -0.052 eV per atom

Cell lengths 4.7463, 4.7463, 4.8221 Å; angles 90.00, 90.00, 90.00 degrees
Space group P4/mmm (No. 123)
Asymmetric unit:
Y (0.0000, 0.0000, 0.0000)
P (0.5000, 0.5000, 0.0000)
W (0.5000, 0.5000, 0.5000)
Cl (0.0000, 0.5000, 0.5000)


21.
YPWCl2 | PBE-GGA | relaxed

* energy above the lowest structure with this stoichiometry: 1.86 eV per formula unit
* crystal system: tetragonal
* ΔE_f (raw): 0.320 eV per atom

Cell lengths 5.0193, 5.0193, 5.7556 Å; angles 90.00, 90.00, 90.00 degrees
Space group P4/mmm (No. 123)
Asymmetric unit:
Y (0.0000, 0.0000, 0.0000)
P (0.0000, 0.0000, 0.5000)
W (0.5000, 0.5000, 0.5000)
Cl (0.0000, 0.5000, 0.0000)


22.
ZnP2WCl | PBE-GGA | relaxed

* energy above the lowest structure with this stoichiometry: 4.83 eV per formula unit
* crystal system: tetragonal
* ΔE_f (raw): 1.344 eV per atom

Cell lengths 4.5487, 4.5487, 4.7261 Å; angles 90.00, 90.00, 90.00 degrees
Space group P4/mmm (No. 123)
Asymmetric unit:
Zn (0.0000, 0.0000, 0.0000)
P (0.0000, 0.5000, 0.0000)
W (0.5000, 0.5000, 0.5000)
Cl (0.0000, 0.0000, 0.5000)


23.
ZnP2WCl | PBE-GGA | relaxed

* energy above the lowest structure with this stoichiometry: 0.00 eV per formula unit
* crystal system: tetragonal
* ΔE_f (raw): 0.377 eV per atom

Cell lengths 4.6958, 4.6958, 4.9731 Å; angles 90.00, 90.00, 90.00 degrees
Space group P4/mmm (No. 123)
Asymmetric unit:
Zn (0.0000, 0.0000, 0.0000)
P (0.0000, 0.5000, 0.5000)
W (0.5000, 0.5000, 0.5000)
Cl (0.5000, 0.5000, 0.0000)


24.
ZrP2WCl | PBE-GGA | relaxed

* energy above the lowest structure with this stoichiometry: 0.00 eV per formula unit
* crystal system: tetragonal
* ΔE_f (raw): 0.426 eV per atom

Cell lengths 4.7089, 4.7089, 4.6911 Å; angles 90.00, 90.00, 90.00 degrees
Space group P4/mmm (No. 123)
Asymmetric unit:
Zr (0.0000, 0.0000, 0.0000)
P (0.0000, 0.5000, 0.5000)
W (0.5000, 0.5000, 0.5000)
Cl (0.5000, 0.5000, 0.0000)


25.
ZrP2WCl | PBE-GGA | relaxed

* energy above the lowest structure with this stoichiometry: 2.42 eV per formula unit
* crystal system: tetragonal
* ΔE_f (raw): 0.910 eV per atom

Cell lengths 5.0760, 5.0760, 4.7752 Å; angles 90.00, 90.00, 90.00 degrees
Space group P4/mmm (No. 123)
Asymmetric unit:
Zr (0.0000, 0.0000, 0.0000)
P (0.0000, 0.5000, 0.0000)
W (0.5000, 0.5000, 0.5000)
Cl (0.0000, 0.0000, 0.5000)


26.
YP2Cl | PBE-GGA | relaxed

* energy above the lowest structure with this stoichiometry: 0.00 eV per formula unit
* crystal system: monoclinic
* ΔE_f (raw): -1.031 eV per atom

Cell lengths 4.2532, 3.5209, 7.3270 Å; angles 90.00, 90.83, 90.00 degrees
Space group Pm (No. 6)
Asymmetric unit:
Y (0.0000, 0.0000, 0.0000)
P (0.5027, 0.5000, 0.1097)
P (0.5077, 0.0000, 0.2968)
Cl (0.9928, 0.5000, 0.7226)


27.
YPCl2 | PBE-GGA | relaxed

* energy above the lowest structure with this stoichiometry: 1.98 eV per formula unit
* crystal system: tetragonal
* ΔE_f (raw): -0.789 eV per atom

Cell lengths 4.1158, 4.1158, 9.5594 Å; angles 90.00, 90.00, 90.00 degrees
Space group I-4m2 (No. 119)
Asymmetric unit:
Y (0.0000, 0.0000, 0.0000)
P (0.0000, 0.5000, 0.2500)
Cl (0.0000, 0.0000, 0.5000)
Cl (0.0000, 0.5000, 0.7500)


28.
YPCl2 | PBE-GGA | relaxed

* energy above the lowest structure with this stoichiometry: 3.21 eV per formula unit
* crystal system: orthorhombic
* ΔE_f (raw): -0.481 eV per atom

Cell lengths 6.0597, 8.2594, 3.3680 Å; angles 90.00, 90.00, 90.00 degrees
Space group Cmmm (No. 65)
Asymmetric unit:
Y (0.0000, 0.0000, 0.0000)
P (0.0000, 0.5000, 0.0000)
Cl (0.2500, 0.2500, 0.5000)


29.
YP2Cl | PBE-GGA | relaxed

* energy above the lowest structure with this stoichiometry: 2.33 eV per formula unit
* crystal system: monoclinic
* ΔE_f (raw): -0.449 eV per atom

Cell lengths 5.1712, 8.0202, 4.3746 Å; angles 90.00, 107.73, 90.00 degrees
Space group C2/m (No. 12)
Asymmetric unit:
Y (0.0000, 0.0000, 0.0000)
P (0.2500, 0.2500, 0.5000)
Cl (0.0000, 0.5000, 0.0000)